(1)
VASP calculation (PBE) on CaZn6Au4 after structural relaxation.

Cell: 4.1260 7.5437 7.5437 Å, 120.00 90.00 90.00°
Fractional coordinates of all 11 atoms:
Ca  0.0000  0.0000  0.0000
Zn  0.0000  0.5367  0.0733
Zn  0.5000  0.5955  0.7978
Zn  0.0000  0.5367  0.4633
Zn  0.0000  0.9267  0.4633
Zn  0.5000  0.2022  0.7978
Zn  0.5000  0.2022  0.4045
Au  0.5000  0.8040  0.6079
Au  0.5000  0.3921  0.1960
Au  0.5000  0.8040  0.1960
Au  0.0000  0.3333  0.6667

- SG: P-6m2, No. 187
- Crystal system: hexagonal
- E_form: -31.9 kJ/mol of atoms

=====

(2)
VASP calculation (PBE) on CaZn8Au2 after structural relaxation.

Cell: 5.2297 5.2297 9.0985 Å, 90.00 90.00 90.00°
Fractional coordinates of all 11 atoms:
Ca  0.5000  0.5000  0.5000
Zn  0.7517  0.7517  0.2188
Zn  0.7517  0.2483  0.7812
Zn  0.7517  0.7517  0.7812
Zn  0.7517  0.2483  0.2188
Zn  0.2483  0.7517  0.2188
Zn  0.2483  0.7517  0.7812
Zn  0.2483  0.2483  0.2188
Zn  0.2483  0.2483  0.7812
Au  0.5000  0.0000  0.0000
Au  0.0000  0.5000  0.0000

- SG: P4/mmm, No. 123
- Crystal system: tetragonal
- E_form: 5.4 kJ/mol of atoms

=====

> What is the formula in the second record?

CaZn8Au2

=====

What did the second record say?
VASP calculation (PBE) on CaZn8Au2 after structural relaxation.

Cell: 5.2297 5.2297 9.0985 Å, 90.00 90.00 90.00°
Fractional coordinates of all 11 atoms:
Ca  0.5000  0.5000  0.5000
Zn  0.7517  0.7517  0.2188
Zn  0.7517  0.2483  0.7812
Zn  0.7517  0.7517  0.7812
Zn  0.7517  0.2483  0.2188
Zn  0.2483  0.7517  0.2188
Zn  0.2483  0.7517  0.7812
Zn  0.2483  0.2483  0.2188
Zn  0.2483  0.2483  0.7812
Au  0.5000  0.0000  0.0000
Au  0.0000  0.5000  0.0000

- SG: P4/mmm, No. 123
- Crystal system: tetragonal
- E_form: 5.4 kJ/mol of atoms

=====

> Which of these has the highest E_form?

CaZn8Au2